Density functional theory data (GGA-PBE) for a relaxed structure of AlZnGe2As4.

Cell and atoms, written as POSCAR:
```
AlZnGe2As4
1.0
0.000 4.286 5.570
4.055 0.000 5.570
4.055 4.286 0.000
Al Zn Ge As
1 1 2 4
direct
0.000 0.000 0.000 Al
0.500 0.500 0.500 Zn
0.247 0.247 0.253 Ge
0.747 0.747 0.753 Ge
0.132 0.632 0.368 As
0.378 0.878 0.622 As
0.632 0.132 0.868 As
0.878 0.378 0.122 As
```

Computed properties:
DFT total energy ... -34.1 eV for the cell shown
Calculated formation energy ... -1.21 eV/f.u.
Magnetization ... 0.00 μB/atom
Density of states at the Fermi level ... 0.2175 states/eV per atom
Crystal system ... orthorhombic
ρ ... 4.61 g/cm³